The following is a DFT calculation (PBE+U) of a relaxed structure of Li2MnF5.

Summary:
SG: Pbam (55)
energy above the most stable polymorph in this dataset: 57 meV/atom

Cell: 6.046 7.594 8.499 Å, 90.00 90.00 90.00°
Element x y z (fractional)
Li 0.255 0.085 0.369
Li 0.755 0.085 0.369
Li 0.755 0.415 0.869
Li 0.255 0.415 0.869
Li 0.755 0.585 0.131
Li 0.255 0.585 0.131
Li 0.255 0.915 0.631
Li 0.755 0.915 0.631
Mn 0.005 0.000 0.000
Mn 0.005 0.500 0.500
Mn 0.505 0.500 0.500
Mn 0.505 0.000 0.000
F 0.005 0.000 0.500
F 0.505 0.900 0.802
F 0.255 0.840 0.070
F 0.755 0.840 0.070
F 0.005 0.900 0.802
F 0.005 0.600 0.302
F 0.755 0.660 0.570
F 0.255 0.660 0.570
F 0.505 0.600 0.302
F 0.005 0.500 0.000
F 0.505 0.500 0.000
F 0.005 0.400 0.698
F 0.755 0.340 0.430
F 0.255 0.340 0.430
F 0.505 0.400 0.698
F 0.505 0.100 0.198
F 0.255 0.160 0.930
F 0.755 0.160 0.930
F 0.005 0.100 0.198
F 0.505 0.000 0.500